[1]
Material: Dy3Ga8Rh3
Method: DFT, GGA-PBE
State: relaxed

Symmetry: C2/m (12)
Energy (eV per cell): -70.15
M_tot (μB/atom): 0.000
Calculated formation energy (eV per atom): -0.72
ρ (g cm⁻³): 8.9

Cell lengths 4.356, 8.050, 8.303 Å; angles 66.22, 74.79, 74.30 degrees
Positions (direct):
1 Dy 0.291 0.721 0.698
2 Dy 0.709 0.279 0.302
3 Dy 0.000 0.000 0.000
4 Ga 0.137 0.148 0.578
5 Ga 0.863 0.852 0.422
6 Ga 0.861 0.434 0.844
7 Ga 0.139 0.566 0.156
8 Ga 0.505 0.669 0.320
9 Ga 0.495 0.331 0.680
10 Ga 0.349 0.034 0.268
11 Ga 0.651 0.966 0.732
12 Rh 0.000 0.500 0.500
13 Rh 0.667 0.669 0.996
14 Rh 0.333 0.331 0.004

[2]
Material: Dy3Ga12Rh
Method: DFT, GGA-PBE
State: relaxed

Symmetry: P4/mmm (123)
Energy (eV per cell): -64.85
M_tot (μB/atom): 0.000
Calculated formation energy (eV per atom): -0.46
ρ (g cm⁻³): 8.0

Cell lengths 4.324, 4.324, 15.878 Å; angles 90.00, 90.00, 90.00 degrees
Positions (direct):
1 Dy 0.000 0.000 0.232
2 Dy 0.000 0.000 0.500
3 Dy 0.000 0.000 0.768
4 Ga 0.500 0.500 0.000
5 Ga 0.500 0.500 0.236
6 Ga 0.500 0.500 0.500
7 Ga 0.500 0.500 0.764
8 Ga 0.500 0.000 0.101
9 Ga 0.500 0.000 0.368
10 Ga 0.500 0.000 0.632
11 Ga 0.500 0.000 0.899
12 Ga 0.000 0.500 0.101
13 Ga 0.000 0.500 0.368
14 Ga 0.000 0.500 0.632
15 Ga 0.000 0.500 0.899
16 Rh 0.000 0.000 0.000

[3]
Material: DyGa3Rh3
Method: DFT, GGA-PBE
State: relaxed

Symmetry: P2_13 (198)
Energy (eV per cell): -161.87
M_tot (μB/atom): 0.000
Calculated formation energy (eV per atom): -0.68
ρ (g cm⁻³): 9.8

Cell lengths 7.713, 7.713, 7.713 Å; angles 90.00, 90.00, 90.00 degrees
Positions (direct):
1 Dy 0.061 0.561 0.939
2 Dy 0.939 0.061 0.561
3 Dy 0.439 0.439 0.439
4 Dy 0.561 0.939 0.061
5 Ga 0.694 0.588 0.987
6 Ga 0.912 0.013 0.194
7 Ga 0.987 0.694 0.588
8 Ga 0.088 0.513 0.306
9 Ga 0.306 0.088 0.513
10 Ga 0.194 0.912 0.013
11 Ga 0.013 0.194 0.912
12 Ga 0.412 0.487 0.806
13 Ga 0.513 0.306 0.088
14 Ga 0.588 0.987 0.694
15 Ga 0.806 0.412 0.487
16 Ga 0.487 0.806 0.412
17 Rh 0.838 0.338 0.162
18 Rh 0.882 0.882 0.882
19 Rh 0.783 0.717 0.283
20 Rh 0.162 0.838 0.338
21 Rh 0.217 0.217 0.217
22 Rh 0.283 0.783 0.717
23 Rh 0.118 0.382 0.618
24 Rh 0.338 0.162 0.838
25 Rh 0.717 0.283 0.783
26 Rh 0.662 0.662 0.662
27 Rh 0.618 0.118 0.382
28 Rh 0.382 0.618 0.118

[4]
Material: Dy2GaRh3
Method: DFT, GGA-PBE
State: relaxed

Symmetry: Immm (71)
Energy (eV per cell): -37.54
M_tot (μB/atom): 0.000
Calculated formation energy (eV per atom): -0.54
ρ (g cm⁻³): 10.0

Cell lengths 4.472, 5.341, 6.009 Å; angles 116.39, 111.85, 90.00 degrees
Positions (direct):
1 Dy 0.686 0.186 0.371
2 Dy 0.314 0.814 0.629
3 Ga 0.000 0.500 0.000
4 Rh 0.365 0.365 0.730
5 Rh 0.000 0.000 0.000
6 Rh 0.635 0.635 0.270

Number 3 is which compound? DyGa3Rh3

Which value of ρ does entry 3 give? 9.8 g cm⁻³

What is the energy in the first record? -70.15 eV per cell